No. 1
Material: LaMg5
Method: DFT, PBE
State: optimized geometry

Properties
- symmetry = Cmmm (65)
- formation energy (eV/f.u.) = -0.24

Cell: 6.6938 6.6938 5.0244 Å, 90.00 90.00 135.88°
Atoms (fractional coordinates):
Mg: 0.4721 0.5279 0.5000
Mg: 0.1448 0.8552 0.5000
Mg: 0.2920 0.7080 0.0000
La: 0.9723 0.0277 0.0000
Mg: 0.7996 0.2004 0.5000
Mg: 0.6525 0.3475 0.0000

No. 2
Material: LaMg5
Method: DFT, PBE
State: optimized geometry

Properties
- symmetry = F-43m (216)
- formation energy (eV/f.u.) = -0.18

Cell: 6.0558 6.0558 6.0558 Å, 60.00 60.00 60.00°
Atoms (fractional coordinates):
Mg: 0.7500 0.7500 0.7500
La: 0.0000 0.0000 0.0000
Mg: 0.3749 0.3749 0.3749
Mg: 0.3749 0.3749 0.8752
Mg: 0.8752 0.3749 0.3749
Mg: 0.3749 0.8752 0.3749

No. 3
Material: LaMg
Method: DFT, PBE
State: optimized geometry

Properties
- symmetry = P6_3/m (176)
- energy above the most stable polymorph in this dataset (eV per atom) = 0.282
- formation energy (eV/f.u.) = 0.34

Cell: 9.2287 9.2287 5.0200 Å, 90.00 90.00 120.00°
Atoms (fractional coordinates):
Mg: 0.0464 0.8259 0.2500
La: 0.3816 0.4765 0.7500
La: 0.4765 0.0949 0.2500
Mg: 0.9536 0.1741 0.7500
Mg: 0.8259 0.7795 0.7500
La: 0.6184 0.5235 0.2500
Mg: 0.7795 0.9536 0.2500
Mg: 0.2205 0.0464 0.7500
La: 0.9051 0.3816 0.2500
La: 0.5235 0.9051 0.7500
Mg: 0.1741 0.2205 0.2500
La: 0.0949 0.6184 0.7500

No. 4
Material: LaMg
Method: DFT, PBE
State: optimized geometry

Properties
- symmetry = Pm-3m (221)
- energy above the most stable polymorph in this dataset (eV per atom) = 0.000
- formation energy (eV/f.u.) = -0.23

Cell: 3.9665 3.9665 3.9665 Å, 90.00 90.00 90.00°
Atoms (fractional coordinates):
La: 0.0000 0.0000 0.0000
Mg: 0.5000 0.5000 0.5000

No. 5
Material: LaMg5
Method: DFT, PBE
State: optimized geometry

Properties
- symmetry = P4/mmm (123)
- formation energy (eV/f.u.) = -0.22

Cell: 3.6104 3.6104 11.7705 Å, 90.00 90.00 90.00°
Atoms (fractional coordinates):
Mg: 0.5000 0.5000 0.6486
Mg: 0.5000 0.5000 0.3514
Mg: 0.0000 0.0000 0.5000
Mg: 0.0000 0.0000 0.2014
La: 0.5000 0.5000 0.0000
Mg: 0.0000 0.0000 0.7986

No. 6
Material: La2Mg
Method: DFT, PBE
State: optimized geometry

Properties
- symmetry = C2/c (15)
- energy above the most stable polymorph in this dataset (eV per atom) = 0.034
- formation energy (eV/f.u.) = -0.10

Cell: 6.2208 6.2208 6.7849 Å, 62.64 62.64 61.12°
Atoms (fractional coordinates):
La: 0.5796 0.7597 0.7520
La: 0.7597 0.5796 0.2520
La: 0.4204 0.2403 0.2480
Mg: 0.9174 0.0826 0.7500
La: 0.2403 0.4204 0.7480
Mg: 0.0826 0.9174 0.2500

No. 7
Material: La2Mg
Method: DFT, PBE
State: optimized geometry

Properties
- symmetry = P-62m (189)
- energy above the most stable polymorph in this dataset (eV per atom) = 0.040
- formation energy (eV/f.u.) = -0.08

Cell: 9.7946 9.7946 3.5443 Å, 90.00 90.00 120.00°
Atoms (fractional coordinates):
La: 0.3012 0.0000 0.5000
Mg: 0.6667 0.3333 0.5000
Mg: 0.0000 0.0000 0.0000
La: 0.6358 0.0000 0.0000
La: 0.3642 0.3642 0.0000
Mg: 0.3333 0.6667 0.5000
La: 0.0000 0.6358 0.0000
La: 0.6988 0.6988 0.5000
La: 0.0000 0.3012 0.5000

No. 8
Material: La6Mg
Method: DFT, PBE
State: optimized geometry

Properties
- symmetry = Im-3m (229)
- formation energy (eV/f.u.) = 7.24

Cell: 7.1446 7.1446 7.1446 Å, 109.47 109.47 109.47°
Atoms (fractional coordinates):
La: 0.2500 0.5000 0.7500
La: 0.2500 0.7500 0.5000
La: 0.5000 0.7500 0.2500
Mg: 0.0000 0.0000 0.0000
La: 0.5000 0.2500 0.7500
La: 0.7500 0.2500 0.5000
La: 0.7500 0.5000 0.2500

No. 9
Material: La8Mg
Method: DFT, PBE
State: optimized geometry

Properties
- symmetry = I4/mmm (139)
- energy above the most stable polymorph in this dataset (eV per atom) = 0.038
- formation energy (eV/f.u.) = 0.36

Cell: 3.8258 9.3622 9.3622 Å, 87.61 78.21 78.21°
Atoms (fractional coordinates):
Mg: 0.0000 0.0000 0.0000
La: 0.3318 0.6682 0.6682
La: 0.6565 0.6870 0.0000
La: 0.3435 0.0000 0.3130
La: 0.0000 0.6682 0.3318
La: 0.0000 0.3318 0.6682
La: 0.3435 0.3130 0.0000
La: 0.6682 0.3318 0.3318
La: 0.6565 0.0000 0.6870

No. 10
Material: LaMg
Method: DFT, PBE
State: optimized geometry

Properties
- symmetry = I4_1/amd (141)
- energy above the most stable polymorph in this dataset (eV per atom) = 0.088
- formation energy (eV/f.u.) = -0.05

Cell: 6.2513 6.2513 6.2513 Å, 134.46 134.46 66.37°
Atoms (fractional coordinates):
La: 0.0000 0.0000 0.0000
Mg: 0.7500 0.2500 0.5000
Mg: 0.5000 0.5000 0.0000
La: 0.2500 0.7500 0.5000

No. 11
Material: La2Mg
Method: DFT, PBE
State: optimized geometry

Properties
- symmetry = Cmcm (63)
- energy above the most stable polymorph in this dataset (eV per atom) = 0.006
- formation energy (eV/f.u.) = -0.18

Cell: 9.1050 9.1050 5.7789 Å, 90.00 90.00 155.26°
Atoms (fractional coordinates):
Mg: 0.2919 0.7081 0.0000
La: 0.8090 0.1910 0.5000
La: 0.4926 0.5074 0.5000
La: 0.6354 0.3646 0.0000
Mg: 0.1525 0.8475 0.5000
La: 0.9518 0.0482 0.0000

No. 12
Material: La4Mg5
Method: DFT, PBE
State: optimized geometry

Properties
- symmetry = I4/mmm (139)
- energy above the most stable polymorph in this dataset (eV per atom) = 0.000
- formation energy (eV/f.u.) = -0.32

Cell: 7.6867 7.6867 7.6867 Å, 96.49 96.49 140.72°
Atoms (fractional coordinates):
Mg: 0.0000 0.0000 0.0000
La: 0.6752 0.0000 0.6752
La: 0.3248 0.0000 0.3248
Mg: 0.3443 0.3443 0.6886
Mg: 0.6557 0.3443 0.0000
La: 0.0000 0.6752 0.6752
La: 0.0000 0.3248 0.3248
Mg: 0.3443 0.6557 0.0000
Mg: 0.6557 0.6557 0.3114

No. 13
Material: LaMg
Method: DFT, PBE
State: optimized geometry

Properties
- symmetry = P4_2/mnm (136)
- energy above the most stable polymorph in this dataset (eV per atom) = 0.336
- formation energy (eV/f.u.) = 0.45

Cell: 6.3890 6.3890 6.6028 Å, 90.00 90.00 90.00°
Atoms (fractional coordinates):
Mg: 0.3325 0.3325 0.5000
La: 0.6694 0.6694 0.0000
Mg: 0.1675 0.8325 0.0000
Mg: 0.6675 0.6675 0.5000
La: 0.1694 0.8306 0.5000
La: 0.3306 0.3306 0.0000
La: 0.8306 0.1694 0.5000
Mg: 0.8325 0.1675 0.0000

No. 14
Material: LaMg
Method: DFT, PBE
State: optimized geometry

Properties
- symmetry = P-6m2 (187)
- energy above the most stable polymorph in this dataset (eV per atom) = 0.161
- formation energy (eV/f.u.) = 0.10

Cell: 3.5299 3.5299 5.7719 Å, 90.00 90.00 120.00°
Atoms (fractional coordinates):
La: 0.0000 0.0000 0.0000
Mg: 0.6667 0.3333 0.5000

No. 15
Material: La2Mg
Method: DFT, PBE
State: optimized geometry

Properties
- symmetry = Fd-3m (227)
- energy above the most stable polymorph in this dataset (eV per atom) = 0.325
- formation energy (eV/f.u.) = 0.77

Cell: 6.6546 6.6546 6.6546 Å, 60.00 60.00 60.00°
Atoms (fractional coordinates):
Mg: 0.7500 0.7500 0.7500
La: 0.1250 0.6250 0.1250
Mg: 0.5000 0.5000 0.5000
La: 0.6250 0.1250 0.1250
La: 0.1250 0.1250 0.6250
La: 0.1250 0.1250 0.1250

No. 16
Material: La2Mg
Method: DFT, PBE
State: optimized geometry

Properties
- symmetry = P-3m1 (164)
- energy above the most stable polymorph in this dataset (eV per atom) = 0.058
- formation energy (eV/f.u.) = -0.03

Cell: 5.6125 5.6125 3.5107 Å, 90.00 90.00 120.00°
Atoms (fractional coordinates):
La: 0.3333 0.6667 0.6893
La: 0.6667 0.3333 0.3107
Mg: 0.0000 0.0000 0.0000

No. 17
Material: LaMg
Method: DFT, PBE
State: optimized geometry

Properties
- symmetry = Imm2 (44)
- energy above the most stable polymorph in this dataset (eV per atom) = 0.101
- formation energy (eV/f.u.) = -0.02

Cell: 9.9037 5.4533 6.8658 Å, 90.00 90.00 90.00°
Atoms (fractional coordinates):
Mg: 0.0000 0.5000 0.4200
La: 0.6733 0.5000 0.6730
Mg: 0.1466 0.0000 0.6627
La: 0.5000 0.0000 0.4106
La: 0.3267 0.5000 0.6730
Mg: 0.3534 0.5000 0.1627
Mg: 0.8534 0.0000 0.6627
La: 0.1733 0.0000 0.1730
Mg: 0.6466 0.5000 0.1627
Mg: 0.5000 0.0000 0.9200
La: 0.8267 0.0000 0.1730
La: 0.0000 0.5000 0.9106

No. 18
Material: La2Mg
Method: DFT, PBE
State: optimized geometry

Properties
- symmetry = Fm-3m (225)
- energy above the most stable polymorph in this dataset (eV per atom) = 0.396
- formation energy (eV/f.u.) = 0.99

Cell: 5.4661 5.4661 5.4661 Å, 60.00 60.00 60.00°
Last column: magnetic moment on the atom in μB.
Atoms (fractional coordinates):
La: 0.2500 0.2500 0.2500  0.07
La: 0.7500 0.7500 0.7500  0.07
Mg: 0.0000 0.0000 0.0000  0.00

No. 19
Material: LaMg3
Method: DFT, PBE
State: optimized geometry

Properties
- symmetry = Fm-3m (225)
- formation energy (eV/f.u.) = -0.57

Cell: 5.3040 5.3040 5.3075 Å, 119.98 119.98 90.00°
Atoms (fractional coordinates):
La: 0.0000 0.0000 0.0000
Mg: 0.5000 0.5000 0.0000
Mg: 0.7500 0.2500 0.5000
Mg: 0.2500 0.7500 0.5000

No. 20
Material: La2Mg
Method: DFT, PBE
State: optimized geometry

Properties
- symmetry = Pnma (62)
- energy above the most stable polymorph in this dataset (eV per atom) = 0.039
- formation energy (eV/f.u.) = -0.08

Cell: 5.6170 7.0412 10.2211 Å, 90.00 90.00 90.00°
Atoms (fractional coordinates):
La: 0.7500 0.3158 0.9252
La: 0.2500 0.1842 0.4252
Mg: 0.2500 0.2015 0.0972
La: 0.7500 0.9832 0.2109
Mg: 0.2500 0.7015 0.4028
La: 0.2500 0.5168 0.7109
Mg: 0.7500 0.2985 0.5972
La: 0.7500 0.4832 0.2891
La: 0.7500 0.8158 0.5748
La: 0.2500 0.6842 0.0748
La: 0.2500 0.0168 0.7891
Mg: 0.7500 0.7985 0.9028